[1]
DFT (PBE-GGA) results for a relaxed structure of CoCuHIr2. Values from VASP.

Space-group type = P4/mmm (123)
E = -6.2176 eV per atom

Geometry as Quantum ESPRESSO input:
```
&SYSTEM
  ibrav = 0, nat = 5, ntyp = 4
/
ATOMIC_SPECIES
Co 58.93 Co.upf
Cu 63.55 Cu.upf
H 1.01 H.upf
Ir 192.22 Ir.upf
CELL_PARAMETERS angstrom
3.871 0.000 0.000
0.000 3.871 0.000
0.000 0.000 3.660
ATOMIC_POSITIONS angstrom
Co 0.000 0.000 0.000
Cu 1.936 1.936 0.000
H 0.000 0.000 1.830
Ir 0.000 1.936 1.830
Ir 1.936 0.000 1.830
```



[2]
DFT (PBE-GGA) results for a relaxed structure of NpInTe2. Values from VASP.

Space-group type = P4/mmm (123)
ΔE_f (raw) = -136 kJ/mol of formula units
E = -5.8419 eV per atom

Geometry as Quantum ESPRESSO input:
```
&SYSTEM
  ibrav = 0, nat = 4, ntyp = 3
/
ATOMIC_SPECIES
Np 237.00 Np.upf
In 114.82 In.upf
Te 127.60 Te.upf
CELL_PARAMETERS angstrom
5.310 0.000 0.000
0.000 5.310 0.000
0.000 0.000 3.945
ATOMIC_POSITIONS angstrom
Np 0.000 0.000 0.000
In 2.655 2.655 0.000
Te 0.000 2.655 1.973
Te 2.655 0.000 1.973
```



[3]
DFT (PBE-GGA) results for a relaxed structure of Dy2YAl9. Values from VASP.

Space-group type = R-3m (166)
E = -4.4790 eV per atom
Calculated formation energy = -0.3664 eV per atom

Geometry as Quantum ESPRESSO input:
```
&SYSTEM
  ibrav = 0, nat = 12, ntyp = 3
/
ATOMIC_SPECIES
Dy 162.50 Dy.upf
Y 88.91 Y.upf
Al 26.98 Al.upf
CELL_PARAMETERS angstrom
2.786 1.608 8.758
-2.786 1.608 8.758
0.000 -3.216 8.758
ATOMIC_POSITIONS angstrom
Dy 0.000 0.000 3.737
Dy 0.000 0.000 22.536
Y 0.000 0.000 0.000
Al -1.424 -0.822 10.952
Al 0.000 0.000 8.812
Al 0.000 -1.644 15.320
Al -1.424 0.822 15.320
Al 0.000 0.000 13.136
Al 1.424 -0.822 10.952
Al 0.000 1.644 10.952
Al 0.000 0.000 17.461
Al 1.424 0.822 15.320
```



[4]
DFT (PBE-GGA) results for a relaxed structure of Ti2MnTc. Values from VASP.

Space-group type = I-42d (122)
E = -8.5652 eV per atom
Calculated formation energy = 0.2662 eV per atom

Geometry as Quantum ESPRESSO input:
```
&SYSTEM
  ibrav = 0, nat = 16, ntyp = 3
/
ATOMIC_SPECIES
Ti 47.87 Ti.upf
Mn 54.94 Mn.upf
Tc 98.00 Tc.upf
CELL_PARAMETERS angstrom
6.735 0.000 0.000
0.000 6.735 0.000
0.000 0.000 5.432
ATOMIC_POSITIONS angstrom
Ti 1.649 1.684 0.679
Ti 1.684 5.016 2.037
Ti 1.684 5.086 4.753
Ti 1.719 1.684 3.395
Ti 5.016 5.051 3.395
Ti 5.051 1.649 4.753
Ti 5.051 1.719 2.037
Ti 5.086 5.051 0.679
Mn 0.000 0.000 0.000
Mn 0.000 3.367 1.358
Mn 3.367 0.000 4.074
Mn 3.367 3.367 2.716
Tc 0.000 0.000 2.716
Tc 0.000 3.367 4.074
Tc 3.367 0.000 1.358
Tc 3.367 3.367 0.000
```